# Sr2PrGaCu2O7

A relaxed structure of Sr2PrGaCu2O7 (GGA-PBE, the Alexandria database).

For the uncorrected energy, the calculation gives -6.239 eV per atom. As for the uncorrected formation energy: -2.0799 eV per atom. The total magnetic moment is 0.00 Bohr magnetons per cell.

The structure belongs to space group Ima2 (No. 46); the cell edges are 23.3654, 5.6054 and 5.4748 Å and the angles 90.00°, 90.00° and 90.00°. The distinct sites, in fractional coordinates, are Sr at (0.1532, 0.0202, 0.0000), Pr at (0.0000, 0.0000, 0.0039), Ga at (0.2500, 0.5703, 0.9677), Cu at (0.0762, 0.5014, 0.0043), O at (0.0662, 0.2483, 0.2531), O at (0.0684, 0.7500, 0.2545), O at (0.1780, 0.0493, 0.5338) and O at (0.2500, 0.6219, 0.6199).